No. 1
The following is a DFT calculation (PBE-GGA) of a geometry-optimized V2HRuRh structure.

Values from the calculation:
Raw total energy in eV per atom: -7.848

Cell: 3.934 3.934 3.676 Å, 90.00 90.00 90.00°
Space group P4/mmm (No. 123)
Inequivalent atoms, fractional coordinates:
V1 0.000 0.500 0.000 [2 per cell]
H1 0.000 0.000 0.000 [1 per cell]
Ru1 0.500 0.500 0.500 [1 per cell]
Rh1 0.000 0.000 0.500 [1 per cell]

No. 2
The following is a DFT calculation (PBE-GGA) of a geometry-optimized Mg3Ga3Pd2 structure.

Values from the calculation:
Formation enthalpy at 0 K in meV per atom: -466

Cell: 7.145 15.655 5.254 Å, 90.00 90.00 90.00°
Space group Pnma (No. 62)
Inequivalent atoms, fractional coordinates:
Mg1 0.028 0.117 0.106 [8 per cell]
Mg2 0.170 0.250 0.642 [4 per cell]
Ga1 0.174 0.750 0.657 [4 per cell]
Ga2 0.184 0.030 0.593 [8 per cell]
Pd1 0.117 0.618 0.392 [8 per cell]

No. 3
The following is a DFT calculation (PBE-GGA) of a geometry-optimized LiCrTc structure.

Values from the calculation:
Formation enthalpy at 0 K in meV per atom: 208

Cell: 8.673 4.258 4.906 Å, 90.00 122.61 90.00°
Space group C2/m (No. 12)
Inequivalent atoms, fractional coordinates:
Li1 0.000 0.000 0.000 [2 per cell]
Li2 0.000 0.000 0.500 [2 per cell]
Cr1 0.168 0.500 0.357 [4 per cell]
Tc1 0.164 0.500 0.841 [4 per cell]

No. 4
The following is a DFT calculation (PBE-GGA) of a geometry-optimized SiAgHg4 structure.

Values from the calculation:
Formation energy (no corrections) in eV/atom: 0.516

Cell: 8.257 8.257 8.257 Å, 90.00 90.00 90.00°
Space group F-43m (No. 216)
Inequivalent atoms, fractional coordinates:
Si1 0.000 0.000 0.000 [4 per cell]
Ag1 0.250 0.250 0.750 [4 per cell]
Hg1 0.125 0.125 0.375 [16 per cell]

no.,Fermi-level density of states (states/eV per cell)
1,6.208
2,8.753
3,7.120
4,11.981